Entry 1:
KLaFeSnO6 (GGA+U, optimized geometry); calculated total energy = -64.0 eV per cell; V = 13.0 Å³/atom; space group = F-43m, No. 216
1.0
-3.859 1.559 3.871
-3.707 4.140 -1.190
-5.488 -1.242 -0.798
K La Fe Sn O
1 1 1 1 6
Direct
0.750 0.750 0.750
0.250 0.250 0.250
0.000 0.000 0.000
0.500 0.500 0.500
0.245 0.755 0.245
0.755 0.245 0.755
0.245 0.755 0.755
0.755 0.245 0.245
0.245 0.245 0.755
0.755 0.755 0.245

---

Entry 2:
KLaZrFeO6 (GGA+U, optimized geometry); calculated total energy = -73.7 eV per cell; V = 13.1 Å³/atom; space group = F-43m, No. 216
1.0
2.556 -1.581 4.851
-2.500 1.059 5.019
-2.141 -4.297 3.084
K La Zr Fe O
1 1 1 1 6
Direct
0.250 0.250 0.250
0.750 0.750 0.750
0.500 0.500 0.500
0.000 0.000 0.000
0.242 0.758 0.242
0.758 0.242 0.758
0.242 0.758 0.758
0.758 0.242 0.242
0.242 0.242 0.758
0.758 0.758 0.242